10
Lattice="4.0755 0.0000 0.0000 0.0000 4.0755 0.0000 0.0000 0.0000 10.7156" Properties=species:S:1:pos:R:3 comment="Pr2ScBe3Pt4, relaxed, DFT GGA-PBE" formation_enthalpy_0k_ev_per_atom=-0.864 final_energy_ev_per_fu=-59.87 pbc="T T T"
Pr 0.0000 2.0377 2.4821
Pr 2.0377 0.0000 8.2335
Sc 0.0000 0.0000 5.3578
Be 0.0000 2.0377 9.5400
Be 2.0377 0.0000 1.1756
Be 2.0377 2.0377 5.3578
Pt 0.0000 0.0000 0.0000
Pt 0.0000 2.0377 7.0405
Pt 2.0377 0.0000 3.6751
Pt 2.0377 2.0377 0.0000


9
Lattice="4.0758 0.0000 0.0000 0.0000 4.0758 0.0000 0.0000 0.0000 9.9186" Properties=species:S:1:pos:R:3 comment="PrScBe2Pt5, relaxed, DFT GGA-PBE" formation_enthalpy_0k_ev_per_atom=-0.763 final_energy_ev_per_fu=-55.64 pbc="T T T"
Pr 0.0000 0.0000 0.0000
Sc 0.0000 0.0000 4.9593
Be 2.0379 2.0379 2.2059
Be 2.0379 2.0379 7.7127
Pt 0.0000 2.0379 3.0894
Pt 0.0000 2.0379 6.8292
Pt 2.0379 0.0000 3.0894
Pt 2.0379 0.0000 6.8292
Pt 2.0379 2.0379 0.0000


15
Lattice="5.9029 0.0000 0.0000 -2.9514 5.1121 0.0000 0.0000 0.0000 9.1511" Properties=species:S:1:pos:R:3 comment="Pr3Be2SiPt9, relaxed, DFT GGA-PBE" e_form_raw_ev_per_atom=-0.84 final_energy_ev_per_fu=-94.11 pbc="T T T"
Pr 0.0000 0.0000 0.0000
Pr 0.0000 3.4080 5.7507
Pr 2.9514 1.7040 3.4004
Be 0.0000 3.4080 1.4066
Be 2.9514 1.7040 7.7445
Si 0.0000 0.0000 4.5755
Pt -1.4757 2.5560 0.0000
Pt 0.0000 1.6650 2.7873
Pt -1.5095 4.2796 2.7873
Pt 1.4419 0.8325 6.3638
Pt 2.9514 0.0000 0.0000
Pt 1.4757 2.5560 0.0000
Pt 1.5095 4.2796 2.7873
Pt 4.4610 0.8325 6.3638
Pt 2.9514 3.4471 6.3638


8
Lattice="1.9779 1.1419 8.4696 -1.9779 1.1419 8.4696 0.0000 -2.2839 8.4696" Properties=species:S:1:pos:R:3 comment="PrBe4SiPt2, relaxed, DFT GGA-PBE" e_form_raw_ev_per_atom=-0.39 final_energy_ev_per_fu=-40.35 pbc="T T T"
Pr 0.0000 0.0000 0.0000
Be 0.0000 0.0000 3.1603
Be 0.0000 0.0000 10.4786
Be 0.0000 0.0000 14.9302
Be 0.0000 0.0000 22.2484
Si 0.0000 0.0000 12.7044
Pt 0.0000 0.0000 5.9336
Pt 0.0000 0.0000 19.4752


18
Lattice="-3.9103 3.9205 5.5665 3.9103 -3.9205 5.5665 3.9103 3.9205 -5.5665" Properties=species:S:1:pos:R:3 comment="PrBeSiPt6, relaxed, DFT GGA-PBE" e_form_raw_ev_per_atom=-0.55 final_energy_ev_per_fu=-55.13 pbc="T T T"
Pr 0.0000 1.9602 1.1450
Pr 3.9103 1.9602 4.4215
Be 1.9552 1.9602 -2.7833
Be 1.9552 -1.9602 2.7833
Si 3.9103 0.0000 0.0000
Si 0.0000 0.0000 5.5665
Pt 3.9103 -1.9602 3.8699
Pt 2.0530 -0.1434 1.4310
Pt 5.7676 -0.1434 1.4310
Pt 2.0530 3.7771 -1.4310
Pt 1.8573 -0.1434 4.1355
Pt 3.9103 1.9602 1.3258
Pt 0.0000 1.9602 4.2407
Pt 2.0530 4.0639 1.4310
Pt 1.8573 0.1434 6.9975
Pt -1.8573 4.0639 4.1355
Pt 1.8573 4.0639 4.1355
Pt 0.0000 5.8807 1.6966


12
Lattice="3.2318 -5.8729 0.0000 3.2318 5.8729 0.0000 0.0000 0.0000 5.6167" Properties=species:S:1:pos:R:3 comment="PrBeSiPt3, relaxed, DFT GGA-PBE" e_form_raw_ev_per_atom=-0.86 final_energy_ev_per_fu=-37.21 pbc="T T T"
Pr 3.2318 3.2061 4.2125
Pr 3.2318 -3.2061 1.4042
Be 3.2318 0.1529 4.2125
Be 3.2318 -0.1529 1.4042
Si 3.2318 4.4665 1.4042
Si 3.2318 -4.4665 4.2125
Pt 1.4431 0.0000 0.0000
Pt 1.4431 0.0000 2.8084
Pt 3.2318 2.1375 1.4042
Pt 3.2318 -2.1375 4.2125
Pt 5.0204 0.0000 0.0000
Pt 5.0204 0.0000 2.8084


10
Lattice="5.7772 -2.8099 0.0000 5.7772 2.8099 0.0000 -4.9289 0.0000 5.8906" Properties=species:S:1:pos:R:3 comment="Pr2BeSiPt6, relaxed, DFT GGA-PBE" e_form_raw_ev_per_atom=-0.89 final_energy_ev_per_fu=-63.84 pbc="T T T"
Pr 1.8433 0.0000 1.2132
Pr 4.7822 0.0000 4.6774
Be -2.4644 0.0000 2.9453
Si 5.7772 0.0000 0.0000
Pt 2.0509 1.4283 4.3546
Pt -0.2710 0.0000 3.7210
Pt 4.5746 1.4283 1.5359
Pt 2.0509 -1.4283 4.3546
Pt 6.8965 0.0000 2.1696
Pt 4.5746 -1.4283 1.5359


10
Lattice="3.9546 0.0000 0.0000 0.0000 3.9546 0.0000 0.0000 0.0000 9.9518" Properties=species:S:1:pos:R:3 comment="Pr2Be4Si3Pt, relaxed, DFT GGA-PBE" e_form_raw_ev_per_atom=-0.54 final_energy_ev_per_fu=-52.21 pbc="T T T"
Pr 0.0000 1.9773 2.4109
Pr 1.9773 0.0000 7.5409
Be 0.0000 0.0000 0.0000
Be 0.0000 1.9773 6.2798
Be 1.9773 0.0000 3.6720
Be 1.9773 1.9773 0.0000
Si 0.0000 1.9773 8.6730
Si 1.9773 0.0000 1.2788
Si 1.9773 1.9773 4.9759
Pt 0.0000 0.0000 4.9759


10
Lattice="4.2244 0.0000 0.0000 0.0000 4.2244 0.0000 0.0000 0.0000 9.9535" Properties=species:S:1:pos:R:3 comment="Pr2BeSi4Pt3, relaxed, DFT GGA-PBE" e_form_raw_ev_per_atom=-0.95 final_energy_ev_per_fu=-62.63 pbc="T T T"
Pr 0.0000 2.1122 2.4661
Pr 2.1122 0.0000 7.4874
Be 2.1122 2.1122 0.0000
Si 0.0000 0.0000 4.9768
Si 0.0000 2.1122 8.6688
Si 2.1122 0.0000 1.2847
Si 2.1122 2.1122 4.9768
Pt 0.0000 0.0000 0.0000
Pt 0.0000 2.1122 6.1938
Pt 2.1122 0.0000 3.7597


15
Lattice="5.9506 0.0000 0.0000 -2.9753 5.1534 0.0000 0.0000 0.0000 9.5495" Properties=species:S:1:pos:R:3 comment="Pr3Be2SnPt9, relaxed, DFT GGA-PBE" formation_enthalpy_0k_ev_per_atom=-0.764 final_energy_ev_per_fu=-91.63 pbc="T T T"
Pr 0.0000 0.0000 0.0000
Pr 0.0000 3.4356 6.3907
Pr 2.9753 1.7178 3.1588
Be 0.0000 3.4356 1.3869
Be 2.9753 1.7178 8.1626
Sn 0.0000 0.0000 4.7748
Pt -1.4876 2.5767 0.0000
Pt 0.0000 1.6884 2.7019
Pt -1.5131 4.3092 2.7019
Pt 1.4622 0.8442 6.8477
Pt 2.9753 0.0000 0.0000
Pt 1.4876 2.5767 0.0000
Pt 1.5131 4.3092 2.7019
Pt 4.4884 0.8442 6.8477
Pt 2.9753 3.4650 6.8477


12
Lattice="2.9566 -3.2895 0.0000 2.9566 3.2895 0.0000 -2.3147 0.0000 11.8996" Properties=species:S:1:pos:R:3 comment="PrTh2Be2Pt7, relaxed, DFT GGA-PBE" formation_enthalpy_0k_ev_per_atom=-0.958 final_energy_ev_per_fu=-80.86 pbc="T T T"
Pr 0.0000 0.0000 0.0000
Th 0.3002 0.0000 4.5255
Th 3.2983 0.0000 7.3740
Be -0.0815 0.0000 9.7591
Be 3.6801 0.0000 2.1405
Pt 1.8616 1.4313 2.3254
Pt 0.2977 0.0000 7.4619
Pt 1.7369 1.4313 9.5742
Pt 2.9566 0.0000 0.0000
Pt 1.8616 -1.4313 2.3254
Pt 3.3009 0.0000 4.4376
Pt 1.7369 -1.4313 9.5742


5
Lattice="-1.9931 1.9931 5.9063 1.9931 -1.9931 5.9063 1.9931 1.9931 -5.9063" Properties=species:S:1:pos:R:3 comment="PrTiBePt2, relaxed, DFT GGA-PBE" formation_enthalpy_0k_ev_per_atom=-0.799 final_energy_ev_per_fu=-32.47 pbc="T T T"
Pr 0.0000 0.0000 0.0000
Ti 1.9931 0.0000 2.9532
Be 0.0000 1.9931 2.9532
Pt 0.0000 0.0000 4.4941
Pt 0.0000 0.0000 7.3186